Entry 1:
A plane-wave DFT calculation with GGA-PBE was carried out for a geometry-optimized Sm2AgTe structure.

```
Sm2AgTe
1.0
-1.547 1.513 3.691
-2.795 -2.321 2.260
4.334 -3.559 5.756
Te Sm Ag
1 2 1
direct
0.499 0.499 0.502
0.256 0.256 0.232
0.078 0.078 0.767
0.667 0.667 0.998
```

Values from the calculation:
formation energy from raw total energies: -0.706 eV/atom
final energy: -4.564 eV per atom
size of the total moment: 0.000 μB per cell
relative energy among the computed polymorphs: 100 meV/atom

Entry 2:
A plane-wave DFT calculation with GGA-PBE was carried out for a geometry-optimized Sm5AgTe2 structure.

```
Sm5AgTe2
1.0
6.080 0.000 0.000
-3.040 6.553 0.000
0.000 0.000 13.111
Te Ag Sm
4 2 10
direct
0.811 0.622 0.090
0.189 0.378 0.910
0.811 0.622 0.410
0.189 0.378 0.590
0.762 0.525 0.750
0.238 0.475 0.250
0.949 0.899 0.612
0.949 0.899 0.888
0.051 0.101 0.388
0.381 0.762 0.434
0.381 0.762 0.066
0.051 0.101 0.112
0.619 0.238 0.934
0.372 0.744 0.750
0.619 0.238 0.566
0.628 0.256 0.250
```

Values from the calculation:
formation energy from raw total energies: -0.514 eV/atom
final energy: -4.605 eV per atom
size of the total moment: 0.003 μB per cell